DFT (PBE-GGA) results for crystalline MnTcHRh2 at its relaxed geometry. Values from VASP.

Cell and atoms, written as Quantum ESPRESSO input:
```
&SYSTEM
  ibrav = 0, nat = 5, ntyp = 4
/
ATOMIC_SPECIES
Tc 98.00 Tc.upf
Rh 102.91 Rh.upf
Mn 54.94 Mn.upf
H 1.01 H.upf
ATOMIC_POSITIONS angstrom
Tc 1.898 1.898 1.941
Rh 0.000 1.898 0.000
Rh 1.898 0.000 0.000
Mn 0.000 0.000 1.941
H 0.000 0.000 0.000
CELL_PARAMETERS angstrom
3.795 0.000 0.000
0.000 3.795 0.000
0.000 0.000 3.882
```

Properties
relative energy among the computed polymorphs: 35 kJ/mol of formula units
ρ: 10.68 Mg/m³


DFT (PBE-GGA) results for crystalline Ac5SnPd2 at its relaxed geometry. Values from VASP.

Cell and atoms, written as Quantum ESPRESSO input:
```
&SYSTEM
  ibrav = 0, nat = 16, ntyp = 3
/
ATOMIC_SPECIES
Ac 227.00 Ac.upf
Sn 118.71 Sn.upf
Pd 106.42 Pd.upf
ATOMIC_POSITIONS angstrom
Ac 3.010 3.775 -3.656
Ac 0.874 5.954 -1.358
Sn 1.381 1.732 2.924
Ac 4.436 7.313 -3.845
Sn 4.391 5.507 -0.732
Ac 6.695 3.538 -2.676
Ac -0.923 3.700 4.868
Pd 4.675 1.007 -2.803
Ac 3.132 2.179 -0.189
Pd 1.346 6.543 -4.510
Ac 1.335 -0.075 6.038
Pd 0.399 2.768 -1.827
Ac 2.639 5.060 2.382
Ac -1.726 7.550 -3.656
Pd 5.621 4.783 -5.485
Ac 4.898 1.285 3.551
CELL_PARAMETERS angstrom
7.746 0.000 -3.657
-1.726 7.550 -3.656
-0.249 -0.312 9.505
```

Properties
ΔE_f: -0.60 eV per atom
ρ: 9.05 Mg/m³


DFT (PBE-GGA) results for crystalline Pr2EuZr at its relaxed geometry. Values from VASP.

Cell and atoms, written as Quantum ESPRESSO input:
```
&SYSTEM
  ibrav = 0, nat = 4, ntyp = 3
/
ATOMIC_SPECIES
Zr 91.22 Zr.upf
Pr 140.91 Pr.upf
Eu 151.96 Eu.upf
ATOMIC_POSITIONS angstrom
Zr 0.000 0.000 0.000
Pr 1.785 1.030 2.678
Eu 3.570 2.061 5.932
Pr 5.354 3.091 9.186
CELL_PARAMETERS angstrom
3.570 0.000 0.000
1.785 3.091 0.000
1.785 1.030 11.864
```

Properties
relative energy among the computed polymorphs: 10 kJ/mol of formula units
ΔE_f: 0.15 eV per atom
ρ: 6.66 Mg/m³


DFT (PBE-GGA) results for crystalline Ho5TmTh at its relaxed geometry. Values from VASP.

Cell and atoms, written as Quantum ESPRESSO input:
```
&SYSTEM
  ibrav = 0, nat = 14, ntyp = 3
/
ATOMIC_SPECIES
Ho 164.93 Ho.upf
Tm 168.93 Tm.upf
Th 232.04 Th.upf
ATOMIC_POSITIONS angstrom
Ho -3.231 7.996 3.769
Ho -5.563 8.316 0.765
Tm -2.017 3.456 -0.706
Ho -7.833 4.859 2.168
Ho -8.830 2.287 -0.190
Th 0.152 3.873 1.832
Ho -5.490 2.835 -0.345
Ho -6.498 1.967 2.815
Th 0.000 0.000 0.000
Tm -10.044 6.826 4.285
Ho -6.571 7.448 3.925
Ho -4.228 5.424 1.412
Ho -8.929 7.730 1.042
Ho -3.132 2.553 2.537
CELL_PARAMETERS angstrom
-3.823 3.160 -3.529
-8.542 -0.624 3.445
0.304 7.746 3.664
```

Properties
relative energy among the computed polymorphs: 0 kJ/mol of formula units
ΔE_f: 0.20 eV per atom
ρ: 9.13 Mg/m³


DFT (PBE-GGA) results for crystalline Hf3H12Pd5 at its relaxed geometry. Values from VASP.

Cell and atoms, written as Quantum ESPRESSO input:
```
&SYSTEM
  ibrav = 0, nat = 80, ntyp = 3
/
ATOMIC_SPECIES
H 1.01 H.upf
Pd 106.42 Pd.upf
Hf 178.49 Hf.upf
ATOMIC_POSITIONS angstrom
H -0.953 3.225 6.905
H 3.565 -1.203 7.364
H 4.624 4.602 1.372
Pd 5.732 -0.579 5.015
H 5.866 -3.225 6.905
H 5.391 -0.558 1.778
H -0.953 -2.581 5.790
H 0.082 3.196 3.300
H -2.798 4.135 4.418
H -0.478 0.558 1.778
H -1.160 -0.497 3.606
Hf -2.457 1.737 7.021
H 6.634 -2.140 5.130
H 6.469 1.057 0.406
H 0.953 0.644 4.672
Pd 4.095 4.053 3.009
Pd 2.457 1.737 1.003
H 1.927 3.429 0.660
H 1.348 -1.173 7.311
H 1.720 -1.436 4.724
H 2.116 1.055 2.640
Hf 0.819 -0.579 3.009
Pd 4.095 2.316 6.018
H 1.348 1.203 7.364
H 4.228 1.408 1.118
Pd 0.000 0.000 0.000
H -0.685 5.276 3.352
H 4.996 8.208 0.406
Pd 2.457 6.949 2.006
H 4.436 5.130 4.418
Pd -0.819 0.579 5.015
Pd 4.913 0.000 0.000
Pd 0.819 2.895 7.021
Pd -1.638 4.632 0.000
Hf 5.732 6.370 1.003
Hf 7.370 0.000 2.006
H 6.073 0.497 3.606
Hf 2.457 5.212 5.015
Pd 3.276 -2.316 4.012
H 4.996 2.493 2.894
Hf 4.095 0.579 3.009
H 4.228 7.213 2.234
Pd 0.819 -2.316 6.018
H -3.358 6.772 2.894
Pd -0.819 2.316 2.006
H -2.116 5.190 6.246
H 6.841 4.663 1.372
Hf 2.457 0.000 6.018
Hf 0.819 4.632 2.006
H -1.720 -3.576 7.618
H 3.754 4.075 6.246
Pd 1.638 2.316 4.012
H -2.591 7.857 1.118
H 2.323 3.988 3.352
H 1.160 3.577 5.384
H -0.290 3.459 0.712
Pd -0.819 7.528 1.003
Hf -0.819 4.053 5.015
H 0.478 5.688 5.384
H -3.565 -0.030 6.652
Pd 3.276 4.632 0.000
Pd -2.457 5.212 3.009
Hf -2.457 -1.737 7.021
H 3.193 1.436 4.724
Hf -4.095 4.632 6.018
H -0.290 5.836 0.660
H 2.798 -1.055 2.640
H -1.348 0.030 6.652
H -1.720 2.140 5.130
H -3.193 3.576 7.618
Pd -1.638 -2.316 4.012
H 1.555 6.069 3.300
H 3.961 -0.644 4.672
H 7.236 2.052 2.234
Pd 4.095 -2.895 7.021
H 1.927 5.806 0.712
H 3.565 1.173 7.311
H -3.961 2.581 5.790
Pd -3.276 2.316 4.012
Hf 5.732 2.895 1.003
CELL_PARAMETERS angstrom
9.827 0.000 0.000
-3.276 9.265 0.000
-3.276 -4.632 8.024
```

Properties
E: -5.019 eV per atom
ρ: 9.82 Mg/m³


DFT (PBE-GGA) results for crystalline CaNbBr2 at its relaxed geometry. Values from VASP.

Cell and atoms, written as Quantum ESPRESSO input:
```
&SYSTEM
  ibrav = 0, nat = 4, ntyp = 3
/
ATOMIC_SPECIES
Nb 92.91 Nb.upf
Ca 40.08 Ca.upf
Br 79.90 Br.upf
ATOMIC_POSITIONS angstrom
Nb 3.500 3.500 3.500
Ca 0.000 0.000 0.000
Br 1.750 1.750 1.750
Br 5.250 5.250 5.250
CELL_PARAMETERS angstrom
0.000 3.500 3.500
3.500 0.000 3.500
3.500 3.500 0.000
```

Properties
relative energy among the computed polymorphs: 58 kJ/mol of formula units
ρ: 5.67 Mg/m³


- ρ of number 4 (Ho5TmTh)?
  9.13 Mg/m³


- Which value of ρ does entry 4 give?
  9.13 Mg/m³


- What is the ρ in the sixth record?
  5.67 Mg/m³


- What is the formula in the third record?
  Pr2EuZr